VASP calculation (PBE) on a relaxed Ac6DyY3 crystal.

Cell: 12.828 3.865 16.759 Å, 90.00 105.13 90.00°
Fractional positions:
Ac1 0.021 0.250 0.111
Ac2 0.168 0.250 0.748
Ac3 0.248 0.750 0.547
Ac4 0.307 0.750 0.168
Ac5 0.399 0.250 0.399
Ac6 0.450 0.750 0.895
Ac7 0.550 0.250 0.105
Ac8 0.601 0.750 0.601
Ac9 0.693 0.250 0.832
Ac10 0.752 0.250 0.453
Ac11 0.832 0.750 0.252
Ac12 0.979 0.750 0.889
Dy1 0.430 0.250 0.702
Dy2 0.570 0.750 0.298
Y1 0.015 0.250 0.419
Y2 0.145 0.750 0.309
Y3 0.242 0.250 0.975
Y4 0.758 0.750 0.025
Y5 0.855 0.250 0.691
Y6 0.985 0.750 0.581

Summary:
Formation energy in kJ/mol of atoms: 9.0
Crystal system: monoclinic

***

VASP calculation (PBE) on a relaxed Ac2DyY crystal.

Cell: 12.290 12.290 12.290 Å, 17.81 17.81 17.81°
Fractional positions:
Ac1 0.000 0.000 0.000
Ac2 0.167 0.167 0.167
Dy1 0.585 0.585 0.585
Y1 0.416 0.416 0.416

Summary:
Formation energy in kJ/mol of atoms: 6.6
Crystal system: trigonal

***

VASP calculation (PBE) on a relaxed AcDyY2 crystal.

Cell: 11.966 11.966 11.966 Å, 17.77 17.77 17.77°
Fractional positions:
Ac1 0.000 0.000 0.000
Dy1 0.500 0.500 0.500
Y1 0.247 0.247 0.247
Y2 0.753 0.753 0.753

Summary:
Formation energy in kJ/mol of atoms: 5.1
Crystal system: trigonal

***

VASP calculation (PBE) on a relaxed AcDy3Y2 crystal.

Cell: 7.853 7.853 7.040 Å, 99.78 99.78 79.29°
Fractional positions:
Ac1 0.032 0.032 0.273
Ac2 0.968 0.968 0.727
Dy1 0.066 0.406 0.712
Dy2 0.286 0.286 0.151
Dy3 0.406 0.066 0.712
Dy4 0.594 0.934 0.288
Dy5 0.714 0.714 0.849
Dy6 0.934 0.594 0.288
Y1 0.321 0.679 0.000
Y2 0.339 0.661 0.500
Y3 0.661 0.339 0.500
Y4 0.679 0.321 0.000

Summary:
Formation energy in kJ/mol of atoms: 21.5
Crystal system: monoclinic

***

no.,magnetic moment (μB per cell)
1,0.00
2,0.00
3,0.00
4,0.00